Compound: La5Pm2NdSc
Source: the Alexandria database
Functional: PBE-GGA
Structure: optimized geometry

abc: 9.1444 9.1444 7.6312
angles: 90.00 90.00 90.00
Sites, in units of the cell vectors:
La: 0.0000 0.0000 0.0000
La: 0.2091 0.2909 0.2827
La: 0.2091 0.2909 0.7173
La: 0.2909 0.7909 0.2827
La: 0.2909 0.7909 0.7173
La: 0.5000 0.5000 0.0000
La: 0.7091 0.2091 0.2827
La: 0.7091 0.2091 0.7173
La: 0.7909 0.7091 0.2827
La: 0.7909 0.7091 0.7173
Pm: 0.1142 0.6142 0.0000
Pm: 0.3858 0.1142 0.0000
Pm: 0.6142 0.8858 0.0000
Pm: 0.8858 0.3858 0.0000
Nd: 0.0000 0.0000 0.5000
Nd: 0.5000 0.5000 0.5000
Sc: 0.0000 0.5000 0.5000
Sc: 0.5000 0.0000 0.5000

Values from the calculation:
The calculation puts the total energy at -0.1750 Ha/atom. As for the volume: 35.5 Å³/atom. The total moment comes out at 0.0 μB per formula unit. The calculation puts the formation energy at 2.4 eV per formula unit.